No. 1
{
  "formula": "FeSnOs",
  "functional": "GGA-PBE",
  "state": "relaxed",
  "cell": [[4.244, 0.000, 0.000], [-2.122, 3.675, 0.000], [0.000, 0.000, 3.112]],
  "species": ["Fe", "Sn", "Os"],
  "frac_coords": [[0.000, 0.000, 0.000], [0.667, 0.333, 0.500], [0.333, 0.667, 0.000]],
  "ef_ev_per_atom": 0.4864
}



No. 2
{
  "formula": "Ta2MnSbW",
  "functional": "GGA-PBE",
  "state": "relaxed",
  "cell": [[4.909, 0.000, 0.000], [0.000, 4.909, 0.000], [0.000, 0.000, 4.682]],
  "species": ["Ta", "Ta", "Mn", "Sb", "W"],
  "frac_coords": [[0.000, 0.500, 0.000], [0.500, 0.000, 0.000], [0.000, 0.000, 0.500], [0.500, 0.500, 0.500], [0.000, 0.000, 0.000]],
  "raw_formation_energy_ev_per_atom": 1.365
}



No. 3
{
  "formula": "PrPuCoPt",
  "functional": "GGA-PBE",
  "state": "relaxed",
  "cell": [[0.000, 3.509, 3.509], [3.509, 0.000, 3.509], [3.509, 3.509, 0.000]],
  "species": ["Pr", "Pu", "Co", "Pt"],
  "frac_coords": [[0.000, 0.000, 0.000], [0.500, 0.500, 0.500], [0.250, 0.250, 0.250], [0.750, 0.750, 0.750]],
  "ef_ev_per_atom": -0.3268
}



No. 4
{
  "formula": "TaCrSn2Ge",
  "functional": "GGA-PBE",
  "state": "relaxed",
  "cell": [[5.361, 0.000, 0.000], [0.000, 5.361, 0.000], [0.000, 0.000, 4.742]],
  "species": ["Ta", "Cr", "Sn", "Sn", "Ge"],
  "frac_coords": [[0.000, 0.000, 0.000], [0.000, 0.000, 0.500], [0.000, 0.500, 0.000], [0.500, 0.000, 0.000], [0.500, 0.500, 0.500]],
  "ef_ev_per_atom": 1.0172
}



No. 5
{
  "formula": "NaCeCd2",
  "functional": "GGA-PBE",
  "state": "relaxed",
  "cell": [[1.585, 0.915, 11.364], [-1.585, 0.915, 11.364], [0.000, -1.830, 11.364]],
  "species": ["Na", "Ce", "Cd", "Cd"],
  "frac_coords": [[0.000, 0.000, 0.000], [0.500, 0.500, 0.500], [0.251, 0.251, 0.251], [0.749, 0.749, 0.749]],
  "ef_ev_per_atom": -0.0408,
  "e_above_lowest_polymorph_mev_per_atom": 60
}



No. 6
{
  "formula": "Ho13Tl2",
  "functional": "GGA-PBE",
  "state": "relaxed",
  "cell": [[6.684, 0.000, 0.000], [1.104, 8.455, 0.000], [1.689, 3.304, 8.020]],
  "species": ["Ho", "Ho", "Ho", "Ho", "Ho", "Ho", "Ho", "Ho", "Ho", "Ho", "Ho", "Ho", "Ho", "Tl", "Tl"],
  "frac_coords": [[0.000, 0.000, 0.000], [0.120, 0.480, 0.738], [0.199, 0.229, 0.152], [0.259, 0.939, 0.584], [0.305, 0.653, 0.974], [0.372, 0.410, 0.389], [0.491, 0.145, 0.796], [0.509, 0.855, 0.204], [0.628, 0.590, 0.611], [0.695, 0.347, 0.026], [0.741, 0.061, 0.416], [0.801, 0.771, 0.848], [0.880, 0.520, 0.262], [0.059, 0.771, 0.381], [0.941, 0.229, 0.619]],
  "ef_ev_per_atom": -0.0598
}



no.,spin magnetization (Bohr magnetons per cell),volume (Å³/f.u.)
1,2.474,49
2,2.496,113
3,4.751,86
4,2.967,136
5,0.002,99
6,0.026,453